No. 1
VASP calculation (PBE) on an optimized crystal structure of CaTlOs2.

POSCAR file:
```
CaTlOs2
1.0
4.371 0.000 0.000
0.000 4.119 0.000
0.000 0.000 4.119
Ca Tl Os
1 1 2
Direct
0.500 0.000 0.500 Ca
0.500 0.500 0.000 Tl
0.000 0.500 0.500 Os
0.000 0.000 0.000 Os
```

Summary:
- Energy relative to the lowest polymorph listed for this composition: 0.5498 eV per atom
- E: -5.8600 eV per atom
- Space group: P4/mmm (123)

=====

No. 2
VASP calculation (PBE) on an optimized crystal structure of ZrScAs.

POSCAR file:
```
ZrScAs
1.0
3.658 0.000 0.000
-1.829 3.168 0.000
0.000 0.000 5.859
As Zr Sc
1 1 1
Direct
0.000 0.000 0.999 As
0.667 0.333 0.720 Zr
0.333 0.667 0.281 Sc
```

Summary:
- E: -7.1935 eV per atom
- Space group: P3m1 (156)

=====

No. 3
VASP calculation (PBE) on an optimized crystal structure of AlH8Rh2Pb.

POSCAR file:
```
AlH8Rh2Pb
1.0
-0.032 4.132 2.285
-4.105 2.038 1.135
-1.369 -0.625 5.988
Pb Rh H Al
1 2 8 1
Direct
0.500 0.500 0.500 Pb
0.285 0.285 0.145 Rh
0.715 0.715 0.855 Rh
0.810 0.810 0.569 H
0.623 0.062 0.253 H
0.377 0.938 0.747 H
0.062 0.062 0.253 H
0.190 0.190 0.431 H
0.938 0.377 0.747 H
0.062 0.623 0.253 H
0.938 0.938 0.747 H
0.000 0.000 0.000 Al
```

Summary:
- E: -4.0153 eV per atom
- Space group: R-3m (166)

=====

No. 4
VASP calculation (PBE) on an optimized crystal structure of PmAl2SbO8.

POSCAR file:
```
PmAl2SbO8
1.0
5.795 0.283 0.000
-2.317 5.319 0.000
-1.739 -2.801 4.774
Al O Sb Pm
2 8 1 1
Direct
0.500 0.500 0.000 Al
0.750 0.250 0.500 Al
0.484 0.683 0.801 O
0.714 0.048 0.666 O
0.381 0.048 0.334 O
0.952 0.619 0.666 O
0.317 0.118 0.801 O
0.317 0.516 0.199 O
0.952 0.286 0.334 O
0.882 0.683 0.199 O
0.250 0.750 0.500 Sb
0.000 0.000 0.000 Pm
```

Summary:
- E_form (uncorrected): -2011 meV per atom
- E: -6.6794 eV per atom
- Space group: I-4m2 (119)

=====

No. 5
VASP calculation (PBE) on an optimized crystal structure of MgCd2Mo.

POSCAR file:
```
MgCd2Mo
1.0
-3.275 1.143 3.998
-4.405 -2.933 -0.098
5.160 -1.143 -0.286
Cd Mo Mg
2 1 1
Direct
0.250 0.750 0.500 Cd
0.000 0.000 0.000 Cd
0.750 0.250 0.500 Mo
0.500 0.500 0.000 Mg
```

Summary:
- E: -3.1434 eV per atom
- Space group: I-4m2 (119)

=====

No. 6
VASP calculation (PBE) on an optimized crystal structure of HfGeSbTe2.

POSCAR file:
```
HfGeSbTe2
1.0
5.257 0.000 0.000
0.000 5.257 0.000
0.000 0.000 5.254
Hf Te Ge Sb
1 2 1 1
Direct
0.500 0.500 0.500 Hf
0.500 0.000 0.000 Te
0.000 0.500 0.000 Te
0.000 0.000 0.000 Ge
0.000 0.000 0.500 Sb
```

Summary:
- Energy relative to the lowest polymorph listed for this composition: 0.3856 eV per atom
- E_form (uncorrected): 678 meV per atom
- E: -4.3178 eV per atom
- Space group: P4/mmm (123)

=====

No. 7
VASP calculation (PBE) on an optimized crystal structure of HfMg3Cd6.

POSCAR file:
```
HfMg3Cd6
1.0
4.485 0.000 0.000
0.000 9.494 -1.651
0.000 1.132 9.915
Hf Cd Mg
2 12 6
Direct
0.750 0.052 0.404 Hf
0.250 0.948 0.596 Hf
0.750 0.148 0.705 Cd
0.250 0.852 0.295 Cd
0.750 0.750 0.498 Cd
0.250 0.458 0.102 Cd
0.250 0.642 0.695 Cd
0.250 0.053 0.899 Cd
0.250 0.250 0.502 Cd
0.750 0.947 0.101 Cd
0.750 0.542 0.898 Cd
0.250 0.151 0.199 Cd
0.750 0.849 0.801 Cd
0.750 0.358 0.305 Cd
0.250 0.556 0.402 Mg
0.750 0.444 0.598 Mg
0.750 0.654 0.195 Mg
0.750 0.249 0.013 Mg
0.250 0.346 0.805 Mg
0.250 0.751 0.987 Mg
```

Summary:
- E: -2.0704 eV per atom
- Space group: P2_1/m (11)

=====

No. 8
VASP calculation (PBE) on an optimized crystal structure of CoIr2Os.

POSCAR file:
```
CoIr2Os
1.0
5.349 0.000 0.000
0.000 5.349 0.000
2.674 2.674 5.488
Ir Co Os
4 2 2
Direct
0.875 0.858 0.750 Ir
0.375 0.392 0.750 Ir
0.142 0.625 0.250 Ir
0.608 0.125 0.250 Ir
0.500 0.500 0.000 Co
0.250 0.750 0.500 Co
0.000 0.000 0.000 Os
0.750 0.250 0.500 Os
```

Summary:
- Energy relative to the lowest polymorph listed for this composition: 1.0419 eV per atom
- E: -7.9528 eV per atom
- Space group: I-42d (122)

=====

No. 9
VASP calculation (PBE) on an optimized crystal structure of CuSiAg2.

POSCAR file:
```
CuSiAg2
1.0
-4.018 7.495 2.843
-5.059 7.402 0.171
-6.344 5.919 2.265
Ag Cu Si
2 1 1
Direct
0.244 0.244 0.244 Ag
0.005 0.005 0.005 Ag
0.493 0.493 0.493 Cu
0.757 0.757 0.757 Si
```

Summary:
- E_form (uncorrected): 126 meV per atom
- E: -3.6791 eV per atom
- Space group: R3m (160)

=====

No. 10
VASP calculation (PBE) on an optimized crystal structure of LaRu2Pt.

POSCAR file:
```
LaRu2Pt
1.0
3.254 0.000 0.000
0.000 3.254 0.000
0.000 0.000 7.157
Ru La Pt
2 1 1
Direct
0.500 0.500 0.180 Ru
0.000 0.000 0.024 Ru
0.000 0.000 0.506 La
0.500 0.500 0.790 Pt
```

Summary:
- Energy relative to the lowest polymorph listed for this composition: 0.1894 eV per atom
- E: -7.3546 eV per atom
- Space group: P4mm (99)

=====

No. 11
VASP calculation (PBE) on an optimized crystal structure of FeRe2Se.

POSCAR file:
```
FeRe2Se
1.0
-1.461 1.083 2.392
-2.421 -1.616 -0.747
2.128 -4.795 3.472
Fe Re Se
1 2 1
Direct
0.500 0.500 0.750 Fe
0.000 0.000 0.517 Re
0.000 0.000 0.983 Re
0.500 0.500 0.250 Se
```

Summary:
- E_form (uncorrected): 383 meV per atom
- E: -8.8274 eV per atom
- Space group: P4/mmm (123)

=====

No. 12
VASP calculation (PBE) on an optimized crystal structure of TbLuScGa.

POSCAR file:
```
TbLuScGa
1.0
5.168 0.000 0.000
2.584 4.476 0.000
2.584 1.492 4.220
Sc Tb Lu Ga
1 1 1 1
Direct
0.750 0.750 0.750 Sc
0.000 0.000 0.000 Tb
0.500 0.500 0.500 Lu
0.250 0.250 0.250 Ga
```

Summary:
- E: -4.7603 eV per atom
- Space group: F-43m (216)